{
  "formula": "Cs3PmNd2S6",
  "functional": "PBE",
  "state": "relaxed",
  "lattice_angstrom": [[7.3465, -0.0010, 0.0005], [-3.6723, 6.3627, 0.0005], [-1.2249, -2.1209, 8.0991]],
  "species": ["Cs", "Cs", "Cs", "Pm", "Nd", "Nd", "S", "S", "S", "S", "S", "S"],
  "frac_coords": [[0.1671, 0.8329, 0.5000], [0.8329, 0.1671, 0.5000], [0.5000, 0.5000, 0.5000], [0.0000, 0.0000, 0.0000], [0.3334, 0.6666, 0.0000], [0.6666, 0.3334, 0.0000], [0.9379, 0.6064, 0.8138], [0.7306, 0.7306, 0.1864], [0.0621, 0.3936, 0.1862], [0.6064, 0.9379, 0.8138], [0.2694, 0.2694, 0.8136], [0.3936, 0.0621, 0.1862]],
  "spacegroup": "C2/m, No. 12",
  "e_form_raw_ev_per_atom": -1.81
}

{
  "formula": "Zr2ZnCd",
  "functional": "PBE",
  "state": "relaxed",
  "lattice_angstrom": [[-3.9410, 2.0765, 0.0257], [-3.4608, -1.8166, 2.1369], [-1.0556, 2.7102, 5.2374]],
  "species": ["Zr", "Zr", "Zn", "Cd"],
  "frac_coords": [[0.0661, 0.0661, 0.8017], [0.2722, 0.2722, 0.1833], [0.6694, 0.6694, 0.9918], [0.4922, 0.4922, 0.5232]],
  "spacegroup": "R3m, No. 160",
  "de_polymorph_mev_per_atom": 438,
  "e_form_kj_per_mol_atoms": 25
}

{
  "formula": "Be3TeO",
  "functional": "PBE",
  "state": "relaxed",
  "lattice_angstrom": [[3.9020, 0.0000, 0.0000], [0.0000, 3.9020, 0.0000], [0.0000, 0.0000, 3.9020]],
  "species": ["Be", "Be", "Be", "Te", "O"],
  "frac_coords": [[0.0000, 0.5000, 0.0000], [0.0000, 0.0000, 0.5000], [0.5000, 0.0000, 0.0000], [0.5000, 0.5000, 0.5000], [0.0000, 0.0000, 0.0000]],
  "spacegroup": "Pm-3m, No. 221",
  "e_form_raw_ev_per_atom": 0.04,
  "de_polymorph_mev_per_atom": 0
}

{
  "formula": "CsHf2Ta",
  "functional": "PBE",
  "state": "relaxed",
  "lattice_angstrom": [[0.0000, 3.6348, 3.6348], [3.6348, 0.0000, 3.6348], [3.6348, 3.6348, 0.0000]],
  "species": ["Cs", "Hf", "Hf", "Ta"],
  "frac_coords": [[0.0000, 0.0000, 0.0000], [0.2500, 0.2500, 0.2500], [0.7500, 0.7500, 0.7500], [0.5000, 0.5000, 0.5000]],
  "spacegroup": "Fm-3m, No. 225",
  "de_polymorph_mev_per_atom": 0,
  "e_form_kj_per_mol_atoms": 129
}

{
  "formula": "ScCdNiAu",
  "functional": "PBE",
  "state": "relaxed",
  "lattice_angstrom": [[4.6302, 0.0000, 0.0000], [2.3151, 4.0099, 0.0000], [2.3151, 1.3366, 3.7806]],
  "species": ["Sc", "Ni", "Au", "Cd"],
  "frac_coords": [[0.2500, 0.2500, 0.2500], [0.5000, 0.5000, 0.5000], [0.0000, 0.0000, 0.0000], [0.7500, 0.7500, 0.7500]],
  "spacegroup": "F-43m, No. 216",
  "e_form_kj_per_mol_atoms": -38
}

{
  "formula": "Tb6AlIn",
  "functional": "PBE",
  "state": "relaxed",
  "lattice_angstrom": [[-0.2917, -4.0225, 2.6454], [4.8055, -0.4050, -0.0860], [0.5870, 5.2547, 8.0547]],
  "species": ["Tb", "Tb", "Tb", "Tb", "Tb", "Tb", "Al", "In"],
  "frac_coords": [[0.5000, 0.5000, 0.0000], [0.5000, 0.5000, 0.5000], [0.5000, 0.0000, 0.2568], [0.5000, 0.0000, 0.7432], [0.0000, 0.5000, 0.2568], [0.0000, 0.5000, 0.7432], [0.0000, 0.0000, 0.5000], [0.0000, 0.0000, 0.0000]],
  "spacegroup": "P4/mmm, No. 123",
  "e_form_kj_per_mol_atoms": -22
}

Number 1: uncorrected energy -5.280 eV/atom, theoretical density 4494 kg/m3, DOS at the Fermi energy 0.00 states/eV/atom. Number 2: uncorrected energy -4.566 eV/atom, theoretical density 6434 kg/m3, DOS at the Fermi energy 1.32 states/eV/atom. Number 3: uncorrected energy -3.814 eV/atom, theoretical density 4769 kg/m3, DOS at the Fermi energy 0.33 states/eV/atom. Number 4: uncorrected energy -6.813 eV/atom, theoretical density 11598 kg/m3, DOS at the Fermi energy 0.83 states/eV/atom. Number 5: uncorrected energy -4.475 eV/atom, theoretical density 9771 kg/m3, DOS at the Fermi energy 0.67 states/eV/atom. Number 6: uncorrected energy -4.510 eV/atom, theoretical density 8114 kg/m3, DOS at the Fermi energy 1.59 states/eV/atom.